Version A
This record from Alexandria describes a relaxed structure of NaAs3Pd. The functional is PBE-GGA.

```
NaAs3Pd
1.0
4.897 0.000 0.000
0.000 4.897 0.000
0.000 0.000 4.897
Na As Pd
1 3 1
Cartesian
0.000 0.000 0.000
0.000 0.000 2.449
0.000 2.449 0.000
2.449 0.000 0.000
2.449 2.449 2.449
```

Output
V ... 23.49 Å³ per atom

Version B
This record from Alexandria describes a relaxed structure of NaAs3Pd. The functional is PBE-GGA.

```
NaAs3Pd
1.0
4.983 0.000 0.000
0.000 4.983 0.000
0.000 0.000 4.983
Na As Pd
1 3 1
Cartesian
0.000 0.000 0.000
0.000 2.492 2.492
2.492 0.000 2.492
2.492 2.492 0.000
2.492 2.492 2.492
```

Output
V ... 24.75 Å³ per atom

The most stable of them is version B.

Version A
This record from Alexandria describes a relaxed structure of NaAs2Pd3. The functional is PBE-GGA.

```
NaAs2Pd3
1.0
7.908 -2.062 0.000
7.908 2.062 0.000
-3.301 0.000 6.945
Na As Pd
2 4 6
Cartesian
2.251 0.000 0.461
10.265 0.000 6.484
0.747 0.000 4.708
4.943 0.000 5.750
7.573 0.000 1.195
11.768 0.000 2.237
-0.497 0.000 2.537
3.118 0.000 4.010
5.330 0.000 2.232
7.186 0.000 4.713
9.397 0.000 2.935
13.012 0.000 4.408
```

Output
V ... 18.87 Å³ per atom

Version B
This record from Alexandria describes a relaxed structure of NaAs2Pd3. The functional is PBE-GGA.

```
NaAs2Pd3
1.0
8.469 -2.015 0.000
8.469 2.015 0.000
-2.932 0.000 9.539
Na As Pd
3 6 9
Cartesian
0.000 0.000 0.000
0.621 0.000 6.701
13.385 0.000 2.838
2.928 0.000 1.253
4.557 0.000 5.176
7.098 0.000 2.097
6.908 0.000 7.443
9.449 0.000 4.363
11.078 0.000 8.287
-0.269 0.000 3.066
2.531 0.000 3.768
5.268 0.000 0.375
4.066 0.000 7.637
7.003 0.000 4.770
9.940 0.000 1.903
8.738 0.000 9.165
11.475 0.000 5.772
14.275 0.000 6.473
```

Output
V ... 18.09 Å³ per atom

The most stable of them is version B.

Version A
This record from Alexandria describes a relaxed structure of Na3As2Pd3. The functional is PBE-GGA.

```
Na3As2Pd3
1.0
2.224 -5.125 0.000
2.224 5.125 0.000
0.000 0.000 14.663
Na As Pd
6 4 6
Cartesian
2.224 4.241 8.996
2.224 4.241 12.998
2.224 1.047 10.997
2.224 -1.047 3.666
2.224 -4.241 1.664
2.224 -4.241 5.667
2.224 3.061 1.450
2.224 3.061 5.881
2.224 -3.061 8.782
2.224 -3.061 13.213
2.224 2.106 3.666
2.224 1.443 7.800
2.224 1.443 14.195
2.224 -1.443 0.468
2.224 -1.443 6.863
2.224 -2.106 10.997
```

Output
V ... 20.89 Å³ per atom

Version B
This record from Alexandria describes a relaxed structure of Na3As2Pd3. The functional is PBE-GGA.

```
Na3As2Pd3
1.0
7.870 0.000 0.000
0.000 15.083 0.000
0.000 0.000 5.710
Na As Pd
12 8 12
Cartesian
0.130 1.652 0.675
0.130 5.889 0.675
1.391 3.771 3.249
2.544 11.312 0.394
3.804 9.193 3.531
3.804 13.431 3.531
4.065 1.652 2.180
4.065 5.889 2.180
5.326 3.771 5.316
6.479 11.312 2.461
7.739 9.193 5.035
7.739 13.431 5.035
1.123 9.092 2.178
1.123 13.533 2.178
2.812 1.550 5.033
2.812 5.991 5.033
5.058 9.092 0.677
5.058 13.533 0.677
6.747 1.550 3.532
6.747 5.991 3.532
1.146 0.563 3.491
1.146 6.979 3.491
1.397 11.312 3.118
2.538 3.771 0.263
2.789 8.104 0.636
2.789 14.520 0.636
5.081 0.563 5.074
5.081 6.979 5.074
5.332 11.312 5.448
6.473 3.771 2.593
6.724 8.104 2.219
6.724 14.520 2.219
```

Output
V ... 21.18 Å³ per atom

The most stable of them is version B.

Version A
This record from Alexandria describes a relaxed structure of Na3AsPd. The functional is PBE-GGA.

```
Na3AsPd
1.0
5.287 0.000 0.000
0.000 5.287 0.000
0.000 0.000 5.287
Na As Pd
3 1 1
Cartesian
0.000 0.000 2.643
0.000 2.643 0.000
2.643 0.000 0.000
2.643 2.643 2.643
0.000 0.000 0.000
```

Output
V ... 29.55 Å³ per atom

Version B
This record from Alexandria describes a relaxed structure of Na3AsPd. The functional is PBE-GGA.

```
Na3AsPd
1.0
5.445 0.000 0.000
0.000 5.445 0.000
0.000 0.000 5.445
Na As Pd
3 1 1
Cartesian
0.000 0.000 2.723
0.000 2.723 0.000
2.723 0.000 0.000
0.000 0.000 0.000
2.723 2.723 2.723
```

Output
V ... 32.29 Å³ per atom

The most stable of them is version B.